Version a
# Zn2Mo3O8 GGA+U relaxed
data_Zn2Mo3O8
_cell_length_a 10.3558
_cell_length_b 6.3009
_cell_length_c 5.4509
_cell_angle_alpha 90.00
_cell_angle_beta 111.29
_cell_angle_gamma 90.00
_space_group_name_H-M_alt 'C 1 2/m 1'
_space_group_IT_number 12
_space_group_name_Hall '-C 2y'
loop_
_atom_site_label
_atom_site_type_symbol
_atom_site_fract_x
_atom_site_fract_y
_atom_site_fract_z
Zn1 Zn 0.1757 0.0000 0.1276
Mo1 Mo 0.0000 0.2401 0.5000
Mo2 Mo 0.0000 0.5000 0.0000
O1 O 0.1054 0.2610 0.2488
O2 O 0.1136 0.0000 0.7335
O3 O 0.1155 0.5000 0.7418
# ρ ... 5.5 Mg/m³



Version b
# Zn2Mo3O8 GGA+U relaxed
data_Zn2Mo3O8
_cell_length_a 6.3046
_cell_length_b 12.1041
_cell_length_c 8.6772
_cell_angle_alpha 90.00
_cell_angle_beta 90.00
_cell_angle_gamma 90.00
_space_group_name_H-M_alt 'C m c e'
_space_group_IT_number 64
_space_group_name_Hall '-C 2ac 2'
loop_
_atom_site_label
_atom_site_type_symbol
_atom_site_fract_x
_atom_site_fract_y
_atom_site_fract_z
Zn1 Zn 0.0000 0.1108 0.1130
Mo1 Mo 0.0000 0.0000 0.5000
Mo2 Mo 0.2500 0.1483 0.7500
O1 O 0.0000 0.0228 0.7444
O2 O 0.0000 0.2432 0.2459
O3 O 0.2407 0.1133 0.5212
# ρ ... 5.5 Mg/m³



From most stable to least stable, the computed energies give version b, version a.